Below is a relaxed Na3In2Sb3 crystal, with properties calculated at the PBE level.

Unit cell a=4.6430 b=13.8513 c=15.4314 alpha=90.00 beta=90.00 gamma=90.00
With the nearest neighbours (Å) after each atom.
Space group Cmcm (No. 63)
Symmetry-distinct sites (fractional):
Na: 0.0000 0.0395 0.1218  4 Sb 3.26-3.38
Na: 0.0000 0.2832 0.2500  4 Sb 3.18-3.21, 4 In 3.37
In: 0.0000 0.2533 0.5950  4 Sb 2.94-2.97
Sb: 0.0000 0.3755 0.0611  3 In 2.94-2.97, 1 Na 3.18
Sb: 0.0000 0.3771 0.7500  2 In 2.94, 6 Na 3.21-3.26

Values from the calculation:
Size of the total moment, μB/atom: 0.0000

***

Below is a relaxed Na2InSb crystal, with properties calculated at the PBE level.

Unit cell a=5.5290 b=5.5290 c=12.8647 alpha=90.00 beta=90.00 gamma=120.00
With the nearest neighbours (Å) after each atom.
Space group R3m (No. 160, hexagonal axes)
Symmetry-distinct sites (fractional):
Na: 0.0000 0.0000 0.0000  4 Na 3.19-3.37, 4 In 3.19-3.37
Na: 0.0000 0.0000 0.2482  4 Na 3.19-3.37, 4 Sb 3.21-3.37
In: 0.0000 0.0000 0.7517  4 Na 3.19-3.37, 4 Sb 3.27-3.35
Sb: 0.0000 0.0000 0.4975  4 Na 3.21-3.37, 4 In 3.27-3.35

Values from the calculation:
Size of the total moment, μB/atom: 0.0000

***

Below is a relaxed Na2In3Sb2 crystal, with properties calculated at the PBE level.

Unit cell a=11.2654 b=4.7426 c=8.0987 alpha=90.00 beta=105.45 gamma=90.00
With the nearest neighbours (Å) after each atom.
Space group C2/m (No. 12)
Symmetry-distinct sites (fractional):
Na: 0.1408 0.0000 0.3093  4 Sb 3.28-3.41, 2 In 3.44
In: 0.0000 0.5000 0.5000  4 Sb 3.33, 4 Na 3.44, 2 In 3.45
In: 0.1134 0.5000 0.9406  1 In 2.96, 3 Sb 3.04-3.05
Sb: 0.1697 0.0000 0.7392  5 In 3.04-3.33, 2 Na 3.28

Values from the calculation:
Size of the total moment, μB/atom: 0.0000

***

no.,formation energy from raw total energies (eV/atom)
1,-0.28
2,-0.19
3,-0.17